1.
Here is crystalline Cu2OsW at its relaxed geometry from Alexandria via LeMat-Bulk. Energies are from GGA-PBE.

Lattice parameters (Å, degrees): 2.664 4.157 5.088 90.00 100.58 90.00
Positions (direct):
Cu  0.000  0.000  0.000
Cu  0.076  0.500  0.231
Os  0.654  0.000  0.487
W  0.421  0.500  0.741

Output
Distance to the lowest polymorph of the same formula (eV/f.u.): 0.20
DFT formation energy (meV/atom): 272
Space-group type: No. 6

=====

2.
Here is crystalline TbThHg4 at its relaxed geometry from Alexandria via LeMat-Bulk. Energies are from GGA-PBE.

Lattice parameters (Å, degrees): 5.988 5.988 5.988 60.00 60.00 60.00
Positions (direct):
Tb  0.000  0.000  0.000
Th  0.750  0.750  0.750
Hg  0.375  0.375  0.375
Hg  0.375  0.375  0.875
Hg  0.375  0.875  0.375
Hg  0.875  0.375  0.375

Output
Distance to the lowest polymorph of the same formula (eV/f.u.): 1.11
DFT formation energy (meV/atom): -140
Space-group type: No. 216

=====

3.
Here is crystalline Si2AgPt at its relaxed geometry from Alexandria via LeMat-Bulk. Energies are from GGA-PBE.

Lattice parameters (Å, degrees): 4.473 4.473 5.295 115.29 115.29 47.39
Positions (direct):
Si  0.000  0.000  0.000
Si  0.135  0.135  0.540
Ag  0.358  0.358  0.323
Pt  0.667  0.667  0.859

Output
Raw formation energy (eV per atom): -0.124
Distance to the lowest polymorph of the same formula (eV/f.u.): 0.00
Space-group type: No. 8

=====

4.
Here is crystalline ScRh2CN at its relaxed geometry from Alexandria via LeMat-Bulk. Energies are from GGA-PBE.

Lattice parameters (Å, degrees): 3.844 3.844 4.732 90.00 90.00 90.00
Positions (direct):
Sc  0.000  0.000  0.000
Rh  0.000  0.500  0.500
Rh  0.500  0.000  0.500
C  0.000  0.000  0.500
N  0.500  0.500  0.000

Output
Raw formation energy (eV per atom): 0.422
Space-group type: No. 123

=====

5.
Here is crystalline Mn2TlCoAs at its relaxed geometry from Alexandria via LeMat-Bulk. Energies are from GGA-PBE.

Lattice parameters (Å, degrees): 5.021 5.021 4.789 90.00 90.00 90.00
Positions (direct):
Mn  0.000  0.500  0.000
Mn  0.500  0.000  0.000
Tl  0.000  0.000  0.000
Co  0.000  0.000  0.500
As  0.500  0.500  0.500

Output
DFT formation energy (meV/atom): 1422
Space-group type: No. 123

=====

6.
Here is crystalline Cr4Cl at its relaxed geometry from Alexandria via LeMat-Bulk. Energies are from GGA-PBE.

Lattice parameters (Å, degrees): 4.426 4.426 4.426 109.47 109.47 109.47
Positions (direct):
Cr  0.000  0.000  0.500
Cr  0.000  0.500  0.000
Cr  0.500  0.000  0.000
Cr  0.500  0.500  0.500
Cl  0.000  0.000  0.000

Output
Raw formation energy (eV per atom): 1.297
Distance to the lowest polymorph of the same formula (eV/f.u.): 3.05
Space-group type: No. 229

=====

7.
Here is crystalline Zn2RuCl at its relaxed geometry from Alexandria via LeMat-Bulk. Energies are from GGA-PBE.

Lattice parameters (Å, degrees): 3.004 3.039 7.332 90.00 90.00 90.00
Positions (direct):
Zn  0.000  0.000  0.215
Zn  0.000  0.000  0.785
Ru  0.500  0.500  0.000
Cl  0.500  0.000  0.500

Output
Raw formation energy (eV per atom): -0.069
Distance to the lowest polymorph of the same formula (eV/f.u.): 0.00
Space-group type: No. 47

=====

8.
Here is crystalline TaCo2Se at its relaxed geometry from Alexandria via LeMat-Bulk. Energies are from GGA-PBE.

Lattice parameters (Å, degrees): 3.849 3.849 3.656 90.00 90.00 90.00
Positions (direct):
Ta  0.000  0.000  0.000
Co  0.000  0.500  0.500
Co  0.500  0.000  0.500
Se  0.500  0.500  0.000

Output
Raw formation energy (eV per atom): 0.144
Space-group type: No. 123

=====

9.
Here is crystalline ThUSe4 at its relaxed geometry from Alexandria via LeMat-Bulk. Energies are from GGA-PBE.

Lattice parameters (Å, degrees): 4.890 4.890 6.922 90.00 90.00 90.00
Positions (direct):
Th  0.000  0.000  0.000
U  0.500  0.500  0.500
Se  0.000  0.500  0.255
Se  0.000  0.500  0.745
Se  0.500  0.000  0.255
Se  0.500  0.000  0.745

Output
Raw formation energy (eV per atom): -1.407
Space-group type: No. 123

=====

10.
Here is crystalline LaPr5Tm at its relaxed geometry from Alexandria via LeMat-Bulk. Energies are from GGA-PBE.

Lattice parameters (Å, degrees): 6.450 6.450 13.568 93.62 93.62 63.77
Positions (direct):
La  0.236  0.764  0.750
La  0.764  0.236  0.250
Pr  0.234  0.766  0.250
Pr  0.249  0.255  0.160
Pr  0.255  0.249  0.660
Pr  0.332  0.336  0.424
Pr  0.336  0.332  0.924
Pr  0.664  0.668  0.076
Pr  0.668  0.664  0.576
Pr  0.745  0.751  0.340
Pr  0.751  0.745  0.840
Pr  0.766  0.234  0.750
Tm  0.000  0.000  0.000
Tm  0.000  0.000  0.500

Output
DFT formation energy (meV/atom): 145
Space-group type: No. 15

=====

11.
Here is crystalline CsTcB3 at its relaxed geometry from Alexandria via LeMat-Bulk. Energies are from GGA-PBE.

Lattice parameters (Å, degrees): 4.384 4.384 4.384 90.00 90.00 90.00
Positions (direct):
Cs  0.000  0.000  0.000
Tc  0.500  0.500  0.500
B  0.000  0.500  0.500
B  0.500  0.000  0.500
B  0.500  0.500  0.000

Output
Distance to the lowest polymorph of the same formula (eV/f.u.): 0.00
DFT formation energy (meV/atom): 1014
Space-group type: No. 221

=====

12.
Here is crystalline MnCuSn2Te5 at its relaxed geometry from Alexandria via LeMat-Bulk. Energies are from GGA-PBE.

Lattice parameters (Å, degrees): 9.423 9.423 13.962 90.00 90.00 155.05
Positions (direct):
Mn  0.223  0.777  0.500
Mn  0.777  0.223  0.000
Cu  0.416  0.584  0.927
Cu  0.584  0.416  0.427
Sn  0.095  0.905  0.110
Sn  0.103  0.897  0.753
Sn  0.897  0.103  0.253
Sn  0.905  0.095  0.610
Te  0.071  0.929  0.538
Te  0.262  0.738  0.134
Te  0.284  0.716  0.870
Te  0.367  0.633  0.461
Te  0.481  0.519  0.764
Te  0.519  0.481  0.264
Te  0.633  0.367  0.961
Te  0.716  0.284  0.370
Te  0.738  0.262  0.634
Te  0.929  0.071  0.038

Output
Raw formation energy (eV per atom): -0.137
Space-group type: No. 36

=====

| no. | total magnetization (μB per formula unit) | density of states at the Fermi level (states/eV per cell) |
| --- | --- | --- |
| 1 | 0.0 | 2.9 |
| 2 | 0.8 | 5.3 |
| 3 | 0.0 | 0.9 |
| 4 | 0.0 | 5.4 |
| 5 | 9.4 | 4.9 |
| 6 | 0.6 | 7.8 |
| 7 | 0.0 | 3.4 |
| 8 | 0.0 | 4.7 |
| 9 | 2.0 | 6.9 |
| 10 | 0.0 | 21.8 |
| 11 | 0.0 | 2.7 |
| 12 | 2.9 | 6.8 |